No. 1
BiPbS3 PBE-GGA relaxed; E above lowest polymorph = 0 meV/atom; magnetization = 0.00 μB/f.u.; space-group type = Pnma (62); uncorrected formation energy = -0.283 eV/atom
1.0
-1.5973 -0.1191 -3.9019
-7.0518 -3.0360 2.9793
-5.3304 14.1001 1.7518
S Bi Pb
12 4 4
Cartesian
-9.4915 12.6713 0.0792
-4.4880 -1.7263 0.7500
-6.7971 9.9420 1.3392
-7.1824 1.0030 -0.5100
-5.9625 12.4795 -1.3595
-8.0170 -1.5345 2.1888
-3.9361 3.2606 -1.9078
-10.0434 7.6844 2.7370
-7.9773 6.9644 -0.3665
-3.5859 6.7320 0.1226
-10.3936 4.2130 0.7066
-6.0022 3.9806 1.1957
-8.3084 5.7821 2.0849
-5.6711 5.1629 -1.2556
-6.7848 12.5966 1.2532
-7.1947 -1.6516 -0.4240
-4.6405 1.4641 0.7151
-9.3390 9.4809 0.1142
-5.3066 9.6591 -1.5420
-8.6728 1.2859 2.3712


No. 2
ScInCo PBE-GGA relaxed; energy = -16.90 eV for the cell shown; magnetization = 0.72 μB/f.u.; space-group type = I4mm (107)
1.0
-1.6652 -3.7303 -3.9787
2.3053 -1.7794 -4.9060
0.7509 1.0998 5.5476
In Co Sc
1 1 1
Cartesian
0.9771 -0.8471 2.4077
0.0020 -0.0197 -0.0302
1.1627 -2.4433 -0.1670


No. 3
Tb6PmHo5 PBE-GGA relaxed; energy = -55.24 eV for the cell shown; magnetization = 0.00 μB/f.u.; space-group type = C2/m (12)
1.0
6.0590 0.0000 1.0743
3.0295 5.3243 0.5372
-0.0180 0.0000 11.7728
Tb Ho Pm
6 5 1
Cartesian
4.5263 0.0000 9.6211
4.5323 3.5462 9.6198
4.5381 1.7781 3.7645
1.5146 0.0000 3.2260
7.5676 3.5462 4.3017
1.5028 1.7781 9.0826
3.0205 0.0000 6.4236
3.0205 3.5470 6.4236
6.0500 1.7772 6.9608
3.0295 1.7751 0.5372
6.0590 3.5492 1.0743
0.0000 0.0000 0.0000


No. 4
PrNd2H8 PBE-GGA relaxed; energy = -47.51 eV for the cell shown; magnetization = 0.00 μB/f.u.; space-group type = Immm (71)
1.0
3.6831 0.0000 -1.1209
-0.8060 4.6628 -2.6482
0.0066 0.6154 6.6331
Nd Pr H
2 1 8
Cartesian
2.7961 1.9464 2.5762
0.0876 3.3317 0.2878
1.8415 0.0000 -0.5605
-0.2204 1.2752 -0.7242
1.7135 4.3891 -0.9813
2.0962 2.1751 0.2762
0.7876 3.1030 2.5878
1.1703 0.8890 3.8453
3.1042 4.0029 3.5882
2.4245 4.3420 1.3551
0.4592 0.9361 1.5089


No. 5
NiPC2Se PBE-GGA relaxed; magnetization = 0.00 μB/f.u.; space-group type = P4/mmm (123); uncorrected formation energy = 2.424 eV/atom
1.0
3.8091 0.0000 0.0000
0.0000 4.8186 0.0000
0.0000 0.0000 3.8091
P C Ni Se
1 2 1 1
Cartesian
0.0000 2.4093 0.0000
1.9045 0.0000 0.0000
0.0000 0.0000 1.9045
1.9045 2.4093 1.9045
0.0000 0.0000 0.0000


No. 6
Rb10Br4O3 PBE-GGA relaxed; magnetization = 0.00 μB/f.u.; space-group type = I4/mmm (139); uncorrected formation energy = -1.318 eV/atom
1.0
-1.7113 1.3685 5.1097
-4.9185 -2.3879 -1.0078
10.2718 -16.7540 4.9025
Rb Br O
10 4 3
Cartesian
0.7362 -10.5629 6.1001
2.6656 -15.3506 8.0285
1.0856 -4.1331 4.4952
-0.5180 -6.0113 1.4364
0.9764 -2.4229 0.9759
-0.8556 0.6842 2.5548
-2.4593 -1.1940 -0.5039
2.9057 -7.2107 2.9043
2.5563 -13.6404 4.5093
4.1599 -11.7622 7.5680
6.0000 -14.8892 5.9970
-0.5160 -7.4553 4.8485
-2.3580 -2.8843 3.0074
4.1580 -10.3182 4.1559
1.9710 -4.8912 1.9701
1.6709 -12.8823 7.0344
0.0000 0.0000 0.0000


No. 7
SiH4F2 PBE-GGA relaxed; energy = -30.52 eV for the cell shown; magnetization = 0.00 μB/f.u.; space-group type = C2 (5)
1.0
5.6350 0.0000 -1.3909
-0.2084 5.0246 -0.8443
-1.9774 0.5761 4.0987
H Si F
4 1 2
Cartesian
-1.4776 4.3491 3.2832
0.6134 1.2516 -0.3550
3.1907 2.7067 -0.9049
1.0595 2.8940 2.5707
5.5648 0.0000 -1.3736
2.3271 0.3773 1.7283
4.7047 5.2234 -0.7491


No. 8
Rb3Ag2O3 PBE-GGA relaxed; magnetization = 0.45 μB/f.u.; space-group type = Cmcm (63); uncorrected formation energy = -0.607 eV/atom
1.0
3.6581 0.0000 0.0000
-1.8290 5.5725 0.0000
0.0000 0.0000 18.7861
O Rb Ag
6 6 4
Cartesian
1.8290 0.9834 14.0896
0.0000 3.6737 16.9355
1.8290 1.8988 1.8506
0.0000 3.6737 11.2437
0.0000 4.5891 4.6965
1.8290 1.8988 7.5424
0.0000 3.3260 14.0896
0.0000 0.5461 11.9650
1.8290 2.2466 4.6965
1.8290 5.0264 2.5719
0.0000 0.5461 16.2142
1.8290 5.0264 6.8212
1.8290 3.2264 10.3005
0.0000 2.3461 0.9074
1.8290 3.2264 17.8787
0.0000 2.3461 8.4857